[1]
A relaxed structure of Na4AgHg3, computed with GGA-PBE.

Values from the calculation:
As for the total magnetic moment: 0.00 μB per formula unit. As for the formation energy: -179 meV/atom.

a b c (Å): 5.273 5.273 8.325
angles (deg): 111.11 111.11 82.75
Fractional positions:
Na (0.378, 0.377, 0.756)
Na (0.622, 0.623, 0.244)
Na (0.123, 0.122, 0.244)
Na (0.877, 0.878, 0.756)
Hg (0.000, 0.500, 0.000)
Hg (0.746, 0.246, 0.491)
Hg (0.254, 0.754, 0.509)
Ag (0.500, 0.000, 0.000)

[2]
A relaxed structure of FeSb2Os, computed with GGA-PBE.

Values from the calculation:
As for the total magnetic moment: 2.33 μB per formula unit. The formation energy without anion corrections comes out at 0.804 eV/atom.

a b c (Å): 6.036 6.036 7.139
angles (deg): 64.99 64.99 90.00
Fractional positions:
Sb (0.628, 0.125, 0.250)
Sb (0.122, 0.625, 0.250)
Sb (0.375, 0.372, 0.750)
Sb (0.875, 0.878, 0.750)
Os (0.000, 0.000, 0.000)
Os (0.750, 0.250, 0.500)
Fe (0.500, 0.500, 0.000)
Fe (0.250, 0.750, 0.500)

[3]
A relaxed structure of Ce4TcHg, computed with GGA-PBE.

Values from the calculation:
As for the total magnetic moment: 0.39 μB per formula unit. As for the formation energy: -161 meV/atom.

a b c (Å): 6.002 8.915 7.496
angles (deg): 115.60 99.14 113.96
Fractional positions:
Ce (0.013, 0.171, 0.800)
Ce (0.767, 0.690, 0.622)
Ce (0.287, 0.629, 0.800)
Ce (0.355, 0.931, 0.622)
Ce (0.645, 0.069, 0.378)
Ce (0.713, 0.371, 0.200)
Ce (0.233, 0.310, 0.378)
Ce (0.987, 0.829, 0.200)
Tc (0.257, 0.007, 0.015)
Tc (0.743, 0.993, 0.985)
Hg (0.358, 0.608, 0.217)
Hg (0.642, 0.392, 0.783)

[4]
A relaxed structure of Tb3S3O2, computed with GGA-PBE.

Values from the calculation:
As for the total magnetic moment: 0.00 μB per formula unit. The formation energy without anion corrections comes out at -2.397 eV/atom.

a b c (Å): 3.713 4.006 10.639
angles (deg): 100.85 100.05 90.00
Fractional positions:
Tb (0.194, 0.194, 0.388)
Tb (0.000, 0.500, 0.000)
Tb (0.806, 0.806, 0.612)
S (0.615, 0.615, 0.231)
S (0.385, 0.385, 0.769)
S (0.500, 0.000, 0.000)
O (0.753, 0.253, 0.506)
O (0.247, 0.747, 0.494)